1.
First-principles (GGA-PBE) data for crystalline Rb2CeMg2Se4 at its relaxed geometry, as listed in Alexandria.

```
Rb2CeMg2Se4
1.0
4.290 0.000 0.000
0.000 8.410 0.361
-2.145 -2.990 7.658
Se Ce Mg Rb
4 1 2 2
direct
0.205 0.168 0.411
0.478 0.242 0.955
0.795 0.832 0.589
0.522 0.758 0.045
0.000 0.000 0.000
0.329 0.022 0.657
0.671 0.978 0.343
0.875 0.458 0.750
0.125 0.542 0.250
```

Computed properties:
Formation energy from raw total energies = -1120 kJ/mol of formula units
Magnetic moment = 1.96 μB/f.u.

=====

2.
First-principles (GGA-PBE) data for crystalline CsLaHfNi2 at its relaxed geometry, as listed in Alexandria.

```
CsLaHfNi2
1.0
4.836 0.000 0.000
0.000 5.328 0.000
0.000 0.000 4.836
Cs La Ni Hf
1 1 2 1
direct
0.000 0.000 0.000
0.500 0.500 0.500
0.000 0.000 0.500
0.500 0.000 0.000
0.000 0.500 0.000
```

Computed properties:
Magnetic moment = 0.00 μB/f.u.
E_form = 1.651 eV/atom

=====

3.
First-principles (GGA-PBE) data for crystalline RuW3 at its relaxed geometry, as listed in Alexandria.

```
RuW3
1.0
2.754 0.000 0.008
0.000 4.436 0.000
0.945 0.000 5.137
Ru W
1 3
direct
0.000 0.000 0.000
0.733 0.500 0.749
0.267 0.500 0.251
0.500 0.000 0.500
```

Computed properties:
Magnetic moment = 0.00 μB/f.u.
E_form = 0.134 eV/atom

=====

4.
First-principles (GGA-PBE) data for crystalline CaYSN2 at its relaxed geometry, as listed in Alexandria.

```
CaYSN2
1.0
-3.762 1.372 1.283
-1.641 -1.001 -3.740
-1.134 -4.766 1.774
Y N Ca S
1 2 1 1
direct
0.500 0.500 0.500
0.500 0.000 0.000
0.000 0.500 0.000
0.000 0.000 0.000
0.000 0.000 0.500
```

Computed properties:
Formation energy from raw total energies = 156 kJ/mol of formula units
Magnetic moment = 0.66 μB/f.u.
Relative energy among the computed polymorphs = 517 meV per atom

=====

5.
First-principles (GGA-PBE) data for crystalline BaLiRu5O11 at its relaxed geometry, as listed in Alexandria.

```
BaLiRu5O11
1.0
-2.351 -1.739 -5.130
1.510 -4.008 4.065
-12.779 0.837 5.572
Ru O Li Ba
10 22 2 2
direct
0.500 0.000 0.000
0.000 0.000 0.842
0.000 0.500 0.500
0.000 0.000 0.658
0.500 0.500 0.000
0.000 0.000 0.158
0.500 0.000 0.500
0.500 0.500 0.500
0.000 0.500 0.000
0.000 0.000 0.342
0.832 0.663 0.081
0.850 0.699 0.750
0.150 0.301 0.250
0.168 0.337 0.919
0.168 0.832 0.581
0.667 0.333 0.918
0.168 0.832 0.919
0.832 0.168 0.419
0.663 0.832 0.919
0.337 0.168 0.419
0.667 0.333 0.582
0.168 0.337 0.581
0.301 0.150 0.750
0.850 0.150 0.750
0.663 0.832 0.581
0.699 0.850 0.250
0.337 0.168 0.081
0.832 0.168 0.081
0.333 0.667 0.418
0.150 0.850 0.250
0.832 0.663 0.419
0.333 0.667 0.082
0.333 0.667 0.250
0.667 0.333 0.750
0.333 0.667 0.750
0.667 0.333 0.250
```

Computed properties:
Formation energy from raw total energies = -2166 kJ/mol of formula units
Magnetic moment = 6.85 μB/f.u.